Record 1
La3SiSn | PBE | optimized geometry

Computed properties:
The offset from the most stable computed form comes out at 0 meV per atom. As for the energy relative to the elements, uncorrected: -0.54 eV per atom.

a b c (Å): 5.8303 7.4258 9.0391
angles (deg): 97.64 108.68 112.96
Space group P-1 (No. 2)
One atom of each set of equivalent atoms:
La (0.0047, 0.1584, 0.3479) x2
La (0.2380, 0.8572, 0.1153) x2
La (0.3533, 0.4730, 0.7349) x2
Si (0.3244, 0.1941, 0.9596) x2
Sn (0.3455, 0.7332, 0.4588) x2

***

Record 2
La2SiSn | PBE | optimized geometry

Computed properties:
As for the energy relative to the elements, uncorrected: -0.60 eV per atom.

a b c (Å): 3.9822 3.9822 6.9846
angles (deg): 90.00 90.00 90.00
Space group P4/mmm (No. 123)
One atom of each set of equivalent atoms:
La (0.0000, 0.0000, 0.2218) x2
Si (0.5000, 0.5000, 0.0000) x1
Sn (0.5000, 0.5000, 0.5000) x1

***

Record 3
La3Si2Sn2 | PBE | optimized geometry

Computed properties:
As for the energy relative to the elements, uncorrected: -0.69 eV per atom.

a b c (Å): 4.3591 4.6642 19.0419
angles (deg): 90.00 90.00 90.00
Space group Immm (No. 71)
One atom of each set of equivalent atoms:
La (0.0000, 0.0000, 0.0000) x2
La (0.0000, 0.5000, 0.3233) x4
Si (0.0000, 0.0000, 0.4388) x4
Sn (0.0000, 0.5000, 0.1480) x4

***

Record 4
La2SiSn | PBE | optimized geometry

Computed properties:
As for the energy relative to the elements, uncorrected: -0.52 eV per atom.

a b c (Å): 4.3302 4.3302 23.9866
angles (deg): 90.00 90.00 120.00
Space group R-3m (No. 166, hexagonal axes)
One atom of each set of equivalent atoms:
La (0.0000, 0.0000, 0.2391) x6
Si (0.0000, 0.0000, 0.5000) x3
Sn (0.0000, 0.0000, 0.0000) x3

***

Q: Look up the energy relative to the elements, uncorrected of the second one.
A: -0.60 eV per atom

***

What did the fourth record say?
La2SiSn | PBE | optimized geometry

Computed properties:
As for the energy relative to the elements, uncorrected: -0.52 eV per atom.

a b c (Å): 4.3302 4.3302 23.9866
angles (deg): 90.00 90.00 120.00
Space group R-3m (No. 166, hexagonal axes)
One atom of each set of equivalent atoms:
La (0.0000, 0.0000, 0.2391) x6
Si (0.0000, 0.0000, 0.5000) x3
Sn (0.0000, 0.0000, 0.0000) x3

***

What did the third record say?
La3Si2Sn2 | PBE | optimized geometry

Computed properties:
As for the energy relative to the elements, uncorrected: -0.69 eV per atom.

a b c (Å): 4.3591 4.6642 19.0419
angles (deg): 90.00 90.00 90.00
Space group Immm (No. 71)
One atom of each set of equivalent atoms:
La (0.0000, 0.0000, 0.0000) x2
La (0.0000, 0.5000, 0.3233) x4
Si (0.0000, 0.0000, 0.4388) x4
Sn (0.0000, 0.5000, 0.1480) x4

***

Q: Look up the energy relative to the elements, uncorrected of the first one.
A: -0.54 eV per atom